# Ti2Nb2Re, optimized geometry, DFT PBE-GGA
# Electronic total energy, eV/cell: -190.689
# Excess energy over the best structure of this formula in the dataset, eV per formula unit: 0.17
# E_form, meV/atom: 141
data_Ti2Nb2Re
_chemical_formula_sum 'Ti8 Nb8 Re4'
_cell_length_a 4.348
_cell_length_b 4.348
_cell_length_c 19.803
_cell_angle_alpha 90.00
_cell_angle_beta 90.00
_cell_angle_gamma 90.00
_space_group_name_H-M_alt 'I 41/a m d'
_space_group_IT_number 141
loop_
_space_group_symop_operation_xyz
'x,y,z'
'-x,-y,-z'
'-y+1/4,x+3/4,z+1/4'
'y+1/4,-x+3/4,-z+1/4'
'-x+1/2,-y,z+1/2'
'x+1/2,y,-z+1/2'
'y+1/4,-x+1/4,z+3/4'
'-y+1/4,x+1/4,-z+3/4'
'x,-y,-z'
'-x,y,z'
'-y+1/4,-x+1/4,-z+3/4'
'y+1/4,x+1/4,z+3/4'
'-x+1/2,y,-z+1/2'
'x+1/2,-y,z+1/2'
'y+1/4,x+3/4,-z+1/4'
'-y+1/4,-x+3/4,z+1/4'
'x+1/2,y+1/2,z+1/2'
'-x+1/2,-y+1/2,-z+1/2'
'-y+3/4,x+1/4,z+3/4'
'y+3/4,-x+1/4,-z+3/4'
'-x,-y+1/2,z'
'x,y+1/2,-z'
'y+3/4,-x+3/4,z+1/4'
'-y+3/4,x+3/4,-z+1/4'
'x+1/2,-y+1/2,-z+1/2'
'-x+1/2,y+1/2,z+1/2'
'-y+3/4,-x+3/4,-z+1/4'
'y+3/4,x+3/4,z+1/4'
'-x,y+1/2,-z'
'x,-y+1/2,z'
'y+3/4,x+1/4,-z+3/4'
'-y+3/4,-x+1/4,z+3/4'
loop_
_atom_site_label
_atom_site_fract_x
_atom_site_fract_y
_atom_site_fract_z
Ti1 0.000 0.250 0.050
Nb1 0.000 0.250 0.204
Re1 0.000 0.250 0.375

=====

# TiNb2Re, optimized geometry, DFT PBE-GGA
# Electronic total energy, eV/cell: -41.127
# E_form, meV/atom: -161
data_TiNb2Re
_chemical_formula_sum 'Ti1 Nb2 Re1'
_cell_length_a 3.195
_cell_length_b 3.195
_cell_length_c 6.631
_cell_angle_alpha 90.00
_cell_angle_beta 90.00
_cell_angle_gamma 90.00
_space_group_name_H-M_alt 'P 4/m m m'
_space_group_IT_number 123
_space_group_name_Hall '-P 4 2'
loop_
_atom_site_label
_atom_site_fract_x
_atom_site_fract_y
_atom_site_fract_z
Ti1 0.000 0.000 0.000
Nb1 0.500 0.500 0.260
Re1 0.000 0.000 0.500

=====

# Ti2Nb5Re, optimized geometry, DFT PBE-GGA
# Electronic total energy, eV/cell: -158.437
# E_form, meV/atom: -79
data_Ti2Nb5Re
_chemical_formula_sum 'Ti4 Nb10 Re2'
_cell_length_a 4.586
_cell_length_b 4.586
_cell_length_c 13.218
_cell_angle_alpha 90.00
_cell_angle_beta 90.00
_cell_angle_gamma 90.00
_space_group_name_H-M_alt 'I 4/m m m'
_space_group_IT_number 139
_space_group_name_Hall '-I 4 2'
loop_
_atom_site_label
_atom_site_fract_x
_atom_site_fract_y
_atom_site_fract_z
Ti1 0.000 0.000 0.249
Nb1 0.000 0.000 0.500
Nb2 0.000 0.500 0.121
Re1 0.000 0.000 0.000

=====

# Ti2Nb3Re, optimized geometry, DFT PBE-GGA
# Electronic total energy, eV/cell: -236.087
# E_form, meV/atom: -96
data_Ti2Nb3Re
_chemical_formula_sum 'Ti8 Nb12 Re4'
_cell_length_a 4.587
_cell_length_b 13.625
_cell_length_c 6.569
_cell_angle_alpha 90.00
_cell_angle_beta 90.00
_cell_angle_gamma 90.00
_space_group_name_H-M_alt 'C m m m'
_space_group_IT_number 65
_space_group_name_Hall '-C 2 2'
loop_
_atom_site_label
_atom_site_fract_x
_atom_site_fract_y
_atom_site_fract_z
Ti1 0.000 0.000 0.000
Ti2 0.000 0.000 0.500
Ti3 0.000 0.334 0.000
Nb1 0.000 0.169 0.259
Nb2 0.000 0.500 0.261
Re1 0.000 0.334 0.500

=====

Q: Among the records above, which one has the lowest E_form?
A: TiNb2Re

=====

Q: Which of these has the highest E_form?
A: Ti2Nb2Re

=====

Q: Which of these has the lowest electronic total energy?
A: Ti2Nb3Re